# 1
Here is a relaxed Nd2LuSn crystal from Alexandria via LeMat-Bulk. Energies are from PBE-GGA.

It has space group Fm-3m (No. 225), with a = 7.789 Å, b = 7.789 Å, c = 7.789 Å, α = 90.00°, β = 90.00° and γ = 90.00°. The distinct sites, in fractional coordinates, are Nd at (0.250, 0.250, 0.250), Lu at (0.000, 0.000, 0.000) and Sn at (0.000, 0.000, 0.500).

As for the relative energy among the computed polymorphs: 157 meV/atom. The crystal system is cubic. For the spin magnetization, the calculation gives 0.00 μB/f.u. As for the energy of formation from the pure elements: -258 meV per atom.



# 2
Here is a relaxed Nd2LuSn crystal from Alexandria via LeMat-Bulk. Energies are from PBE-GGA.

It has space group P4/mmm (No. 123), with a = 4.863 Å, b = 4.863 Å, c = 4.932 Å, α = 90.00°, β = 90.00° and γ = 90.00°. The distinct sites, in fractional coordinates, are Nd at (0.000, 0.500, 0.000), Lu at (0.000, 0.000, 0.500) and Sn at (0.500, 0.500, 0.500).

As for the relative energy among the computed polymorphs: 0 meV/atom. The crystal system is tetragonal. For the spin magnetization, the calculation gives 0.00 μB/f.u. As for the energy of formation from the pure elements: -415 meV per atom.



# 3
Here is a relaxed Nd2LuSn crystal from Alexandria via LeMat-Bulk. Energies are from PBE-GGA.

It has space group P4/mmm (No. 123), with a = 4.277 Å, b = 4.277 Å, c = 6.653 Å, α = 90.00°, β = 90.00° and γ = 90.00°. The distinct sites, in fractional coordinates, are Nd at (0.000, 0.000, 0.234), Lu at (0.500, 0.500, 0.500) and Sn at (0.500, 0.500, 0.000).

As for the relative energy among the computed polymorphs: 43 meV/atom. The crystal system is tetragonal. For the spin magnetization, the calculation gives 0.00 μB/f.u. As for the energy of formation from the pure elements: -373 meV per atom.



# 4
Here is a relaxed NdLuSn2 crystal from Alexandria via LeMat-Bulk. Energies are from PBE-GGA.

It has space group R-3m (No. 166, hexagonal axes), with a = 3.8103 Å, b = 3.8103 Å, c = 27.7612 Å, α = 90.00°, β = 90.00° and γ = 120.00°. The distinct sites, in fractional coordinates, are Nd at (0.0000, 0.0000, 0.0000), Lu at (0.0000, 0.0000, 0.5000) and Sn at (0.0000, 0.0000, 0.2464).

The crystal system is trigonal. For the spin magnetization, the calculation gives 0.00 μB/f.u. As for the energy of formation from the pure elements: -487 meV per atom.



# 5
Here is a relaxed NdLuSn2 crystal from Alexandria via LeMat-Bulk. Energies are from PBE-GGA.

It has space group P4/mmm (No. 123), with a = 3.483 Å, b = 3.483 Å, c = 8.886 Å, α = 90.00°, β = 90.00° and γ = 90.00°. The distinct sites, in fractional coordinates, are Nd at (0.000, 0.000, 0.000), Lu at (0.000, 0.000, 0.500) and Sn at (0.500, 0.500, 0.262).

The crystal system is tetragonal. For the spin magnetization, the calculation gives 0.00 μB/f.u. As for the energy of formation from the pure elements: -604 meV per atom.



# 6
Here is a relaxed Nd2LuSn crystal from Alexandria via LeMat-Bulk. Energies are from PBE-GGA.

It has space group R-3m (No. 166, hexagonal axes), with a = 3.5529 Å, b = 3.5529 Å, c = 36.4024 Å, α = 90.00°, β = 90.00° and γ = 120.00°. The distinct sites, in fractional coordinates, are Nd at (0.0000, 0.0000, 0.0881), Lu at (0.0000, 0.0000, 0.5000) and Sn at (0.0000, 0.0000, 0.0000).

As for the relative energy among the computed polymorphs: 465 meV/atom. The crystal system is trigonal. For the spin magnetization, the calculation gives 0.00 μB/f.u. As for the energy of formation from the pure elements: 50 meV per atom.



# 7
Here is a relaxed NdLuTlSn crystal from Alexandria via LeMat-Bulk. Energies are from PBE-GGA.

It has space group F-43m (No. 216), with a = 7.633 Å, b = 7.633 Å, c = 7.633 Å, α = 90.00°, β = 90.00° and γ = 90.00°. The distinct sites, in fractional coordinates, are Nd at (0.000, 0.000, 0.000), Lu at (0.000, 0.000, 0.500), Tl at (0.250, 0.250, 0.750) and Sn at (0.250, 0.250, 0.250).

The crystal system is cubic. For the spin magnetization, the calculation gives 0.00 μB/f.u. As for the energy of formation from the pure elements: -423 meV per atom.



# 8
Here is a relaxed NdLuZnSn crystal from Alexandria via LeMat-Bulk. Energies are from PBE-GGA.

It has space group F-43m (No. 216), with a = 7.383 Å, b = 7.383 Å, c = 7.383 Å, α = 90.00°, β = 90.00° and γ = 90.00°. The distinct sites, in fractional coordinates, are Nd at (0.000, 0.000, 0.000), Lu at (0.000, 0.000, 0.500), Zn at (0.250, 0.250, 0.250) and Sn at (0.250, 0.250, 0.750).

The crystal system is cubic. For the spin magnetization, the calculation gives 0.00 μB/f.u. As for the energy of formation from the pure elements: -468 meV per atom.



# 9
Here is a relaxed SrNdLu crystal from Alexandria via LeMat-Bulk. Energies are from PBE-GGA.

It has space group P3m1 (No. 156), with a = 3.7412 Å, b = 3.7412 Å, c = 9.2789 Å, α = 90.00°, β = 90.00° and γ = 120.00°. The distinct sites, in fractional coordinates, are Sr at (0.0000, 0.0000, 0.0000), Nd at (0.6667, 0.3333, 0.3643) and Lu at (0.3333, 0.6667, 0.6570).

As for the relative energy among the computed polymorphs: 22 meV/atom. The crystal system is trigonal. For the spin magnetization, the calculation gives 0.00 μB/f.u. As for the energy of formation from the pure elements: 151 meV per atom.



# 10
Here is a relaxed SrNdLu crystal from Alexandria via LeMat-Bulk. Energies are from PBE-GGA.

It has space group I4mm (No. 107), with a = 3.765 Å, b = 3.765 Å, c = 15.968 Å, α = 90.00°, β = 90.00° and γ = 90.00°. The distinct sites, in fractional coordinates, are Sr at (0.000, 0.000, 0.000), Nd at (0.000, 0.000, 0.684) and Lu at (0.000, 0.000, 0.323).

As for the relative energy among the computed polymorphs: 0 meV/atom. The crystal system is tetragonal. For the spin magnetization, the calculation gives 0.00 μB/f.u. As for the energy of formation from the pure elements: 129 meV per atom.



# 11
Here is a relaxed TbNdLu4 crystal from Alexandria via LeMat-Bulk. Energies are from PBE-GGA.

It has space group F-43m (No. 216), with a = 9.310 Å, b = 9.310 Å, c = 9.310 Å, α = 90.00°, β = 90.00° and γ = 90.00°. The distinct sites, in fractional coordinates, are Tb at (0.000, 0.000, 0.000), Nd at (0.250, 0.250, 0.250) and Lu at (0.125, 0.125, 0.625).

The crystal system is cubic. For the spin magnetization, the calculation gives 5.93 μB/f.u. As for the energy of formation from the pure elements: 280 meV per atom.



# 12
Here is a relaxed Tb2NdLu crystal from Alexandria via LeMat-Bulk. Energies are from PBE-GGA.

It has space group P4/mmm (No. 123), with a = 3.562 Å, b = 3.562 Å, c = 10.115 Å, α = 90.00°, β = 90.00° and γ = 90.00°. The distinct sites, in fractional coordinates, are Tb at (0.000, 0.000, 0.243), Nd at (0.500, 0.500, 0.500) and Lu at (0.500, 0.500, 0.000).

As for the relative energy among the computed polymorphs: 4 meV/atom. The crystal system is tetragonal. For the spin magnetization, the calculation gives 0.00 μB/f.u. As for the energy of formation from the pure elements: 27 meV per atom.



# 13
Here is a relaxed Tb2NdLu crystal from Alexandria via LeMat-Bulk. Energies are from PBE-GGA.

It has space group P4/mmm (No. 123), with a = 5.026 Å, b = 5.026 Å, c = 5.071 Å, α = 90.00°, β = 90.00° and γ = 90.00°. The distinct sites, in fractional coordinates, are Tb at (0.000, 0.500, 0.000), Nd at (0.000, 0.000, 0.500) and Lu at (0.500, 0.500, 0.500).

As for the relative energy among the computed polymorphs: 0 meV/atom. The crystal system is tetragonal. For the spin magnetization, the calculation gives 0.00 μB/f.u. As for the energy of formation from the pure elements: 22 meV per atom.



# 14
Here is a relaxed TbNdLu crystal from Alexandria via LeMat-Bulk. Energies are from PBE-GGA.

It has space group I4mm (No. 107), with a = 3.572 Å, b = 3.572 Å, c = 15.124 Å, α = 90.00°, β = 90.00° and γ = 90.00°. The distinct sites, in fractional coordinates, are Tb at (0.000, 0.000, 0.000), Nd at (0.000, 0.000, 0.329) and Lu at (0.000, 0.000, 0.662).

As for the relative energy among the computed polymorphs: 0 meV/atom. The crystal system is tetragonal. For the spin magnetization, the calculation gives 0.00 μB/f.u. As for the energy of formation from the pure elements: 29 meV per atom.



# 15
Here is a relaxed Tb2NdLu crystal from Alexandria via LeMat-Bulk. Energies are from PBE-GGA.

It has space group Fm-3m (No. 225), with a = 8.036 Å, b = 8.036 Å, c = 8.036 Å, α = 90.00°, β = 90.00° and γ = 90.00°. The distinct sites, in fractional coordinates, are Tb at (0.250, 0.250, 0.250), Nd at (0.000, 0.000, 0.000) and Lu at (0.000, 0.000, 0.500).

As for the relative energy among the computed polymorphs: 128 meV/atom. The crystal system is cubic. For the spin magnetization, the calculation gives 0.09 μB/f.u. As for the energy of formation from the pure elements: 150 meV per atom.



# 16
Here is a relaxed TbNdLu crystal from Alexandria via LeMat-Bulk. Energies are from PBE-GGA.

It has space group P3m1 (No. 156), with a = 5.6558 Å, b = 5.6558 Å, c = 3.4694 Å, α = 90.00°, β = 90.00° and γ = 120.00°. The distinct sites, in fractional coordinates, are Tb at (0.0000, 0.0000, 0.0000), Nd at (0.3333, 0.6667, 0.5014) and Lu at (0.6667, 0.3333, 0.0032).

As for the relative energy among the computed polymorphs: 49 meV/atom. The crystal system is trigonal. For the spin magnetization, the calculation gives 0.00 μB/f.u. As for the energy of formation from the pure elements: 78 meV per atom.



# 17
Here is a relaxed Tb2NdLu crystal from Alexandria via LeMat-Bulk. Energies are from PBE-GGA.

It has space group R-3m (No. 166, hexagonal axes), with a = 3.5674 Å, b = 3.5674 Å, c = 34.8542 Å, α = 90.00°, β = 90.00° and γ = 120.00°. The distinct sites, in fractional coordinates, are Tb at (0.0000, 0.0000, 0.2479), Nd at (0.0000, 0.0000, 0.0000) and Lu at (0.0000, 0.0000, 0.5000).

As for the relative energy among the computed polymorphs: 3 meV/atom. The crystal system is trigonal. For the spin magnetization, the calculation gives 0.00 μB/f.u. As for the energy of formation from the pure elements: 25 meV per atom.



# 18
Here is a relaxed TbNdLuTh crystal from Alexandria via LeMat-Bulk. Energies are from PBE-GGA.

It has space group F-43m (No. 216), with a = 8.034 Å, b = 8.034 Å, c = 8.034 Å, α = 90.00°, β = 90.00° and γ = 90.00°. The distinct sites, in fractional coordinates, are Tb at (0.000, 0.000, 0.000), Nd at (0.250, 0.250, 0.750), Lu at (0.000, 0.000, 0.500) and Th at (0.250, 0.250, 0.250).

The crystal system is cubic. For the spin magnetization, the calculation gives 0.01 μB/f.u. As for the energy of formation from the pure elements: 130 meV per atom.



# 19
Here is a relaxed TbNdTmLu crystal from Alexandria via LeMat-Bulk. Energies are from PBE-GGA.

It has space group F-43m (No. 216), with a = 7.994 Å, b = 7.994 Å, c = 7.994 Å, α = 90.00°, β = 90.00° and γ = 90.00°. The distinct sites, in fractional coordinates, are Tb at (0.000, 0.000, 0.000), Nd at (0.000, 0.000, 0.500), Tm at (0.250, 0.250, 0.250) and Lu at (0.250, 0.250, 0.750).

The crystal system is cubic. For the spin magnetization, the calculation gives 0.00 μB/f.u. As for the energy of formation from the pure elements: 101 meV per atom.



# 20
Here is a relaxed TbNdLuZn crystal from Alexandria via LeMat-Bulk. Energies are from PBE-GGA.

It has space group F-43m (No. 216), with a = 7.581 Å, b = 7.581 Å, c = 7.581 Å, α = 90.00°, β = 90.00° and γ = 90.00°. The distinct sites, in fractional coordinates, are Tb at (0.000, 0.000, 0.000), Nd at (0.000, 0.000, 0.500), Lu at (0.250, 0.250, 0.750) and Zn at (0.250, 0.250, 0.250).

The crystal system is cubic. For the spin magnetization, the calculation gives 0.00 μB/f.u. As for the energy of formation from the pure elements: 12 meV per atom.